(1)
Computed, not measured: crystalline Pa2RuRh at its relaxed geometry at the GGA-PBE level of DFT.

Computed properties:
**Energy of formation from the pure elements**: -1.87 eV per formula unit
**Total moment**: 0.000 μB/cell

Structure (extended XYZ):
```
4
Lattice="-0.745 2.964 1.543 -3.069 -1.232 0.884 2.658 -2.397 5.891" Properties=species:S:1:pos:R:3 pbc="T T T"
Ru -1.907 0.866 1.213
Pa 0.648 -0.585 1.437
Pa 2.010 -1.813 4.454
Rh -0.578 -0.333 4.158
```

***

(2)
Computed, not measured: crystalline AsRhSe at its relaxed geometry at the GGA-PBE level of DFT.

Computed properties:
**Total moment**: 0.000 μB/cell
**Energy relative to the elements, uncorrected**: -0.21 eV per atom

Structure (extended XYZ):
```
3
Lattice="3.586 0.000 0.000 -1.793 3.105 0.000 0.000 0.000 5.055" Properties=species:S:1:pos:R:3 pbc="T T T"
As 0.000 0.000 0.295
Rh 1.793 1.035 1.630
Se 0.000 2.070 3.131
```

***

(3)
Computed, not measured: crystalline Pr8Ni3RuI4 at its relaxed geometry at the GGA-PBE level of DFT.

Computed properties:
**Total moment**: 0.000 μB/cell
**Energy relative to the elements, uncorrected**: -0.68 eV per atom

Structure (extended XYZ):
```
16
Lattice="8.341 0.000 0.000 0.000 9.457 0.786 -4.170 -4.157 5.895" Properties=species:S:1:pos:R:3 pbc="T T T"
I -2.085 -2.079 2.947
I 2.085 -2.079 2.947
I 4.170 0.000 0.000
I 0.000 0.000 0.000
Pr 0.000 4.589 3.219
Pr 2.075 2.800 0.504
Pr 6.266 2.800 0.504
Pr 4.170 4.561 3.207
Pr -2.096 2.500 6.177
Pr 2.096 2.500 6.177
Pr 4.170 0.711 3.462
Pr 0.000 0.739 3.474
Ni 4.170 4.729 0.393
Ni -2.085 2.650 3.340
Ni 2.085 2.650 3.340
Ru 0.000 4.729 0.393
```

***

(4)
Computed, not measured: crystalline MnFe3Cl12 at its relaxed geometry at the GGA-PBE level of DFT.

Computed properties:
**Total moment**: 38.000 μB/cell
**Energy relative to the elements, uncorrected**: -0.77 eV per atom

Structure (extended XYZ):
```
32
Lattice="-7.093 5.746 7.658 4.340 3.833 10.414 1.495 11.672 1.897" Properties=species:S:1:pos:R:3 pbc="T T T"
Cl -5.492 10.236 8.058
Cl -1.312 6.908 9.635
Cl -2.083 16.802 13.168
Cl 2.088 9.080 4.607
Cl 3.128 7.670 7.825
Cl 2.972 5.854 11.225
Cl -3.128 8.551 11.949
Cl -0.760 13.586 6.229
Cl -1.105 9.508 3.618
Cl 0.785 12.181 11.466
Cl -0.064 12.068 14.996
Cl -0.961 17.929 16.139
Cl -2.624 12.093 9.291
Cl -3.022 9.648 15.515
Cl -4.654 6.471 8.033
Cl -0.203 7.281 6.186
Cl 0.129 7.899 12.515
Cl -1.534 6.241 3.271
Cl -0.770 15.407 9.964
Cl 0.754 10.418 7.825
Cl 1.133 16.315 14.049
Cl 2.722 13.699 8.495
Cl 1.713 5.646 3.947
Cl 1.080 7.910 1.612
Fe -4.725 11.718 9.393
Fe 1.534 8.693 6.837
Fe 1.443 11.954 13.486
Fe -3.772 8.178 14.158
Fe -3.048 5.476 9.029
Fe 1.452 5.992 12.719
Mn 0.340 7.611 3.873
Mn -1.784 6.565 11.961
```

***

(5)
Computed, not measured: crystalline Ac2PmCuSe5 at its relaxed geometry at the GGA-PBE level of DFT.

Computed properties:
**Total moment**: 0.000 μB/cell
**Energy relative to the elements, uncorrected**: -1.70 eV per atom

Structure (extended XYZ):
```
18
Lattice="-1.353 -0.118 4.023 -0.343 -8.780 -2.615 12.126 -1.674 4.029" Properties=species:S:1:pos:R:3 pbc="T T T"
Pm 5.023 -6.628 3.735
Pm -0.070 -3.187 -0.117
Ac 0.919 -7.143 2.340
Ac 3.945 -2.635 1.250
Ac 8.197 -3.248 2.662
Ac 8.787 -8.255 4.954
Se 8.126 -10.028 2.438
Se 7.681 -6.491 2.392
Se 2.389 -0.556 3.028
Se 9.407 -4.857 5.262
Se 3.774 -6.094 1.090
Se 0.122 -0.344 0.031
Se 5.307 -3.679 3.918
Se 1.155 -3.860 2.516
Se -0.464 -6.122 -0.336
Se 4.563 -9.435 3.498
Cu 4.246 -8.586 1.175
Cu 10.429 -2.572 5.673
```

***

(6)
Computed, not measured: crystalline LiCa2La at its relaxed geometry at the GGA-PBE level of DFT.

Computed properties:
**Energy of formation from the pure elements**: 0.42 eV per formula unit
**Total moment**: 0.001 μB/cell
**E above lowest polymorph**: 31.6 meV/atom

Structure (extended XYZ):
```
4
Lattice="7.009 0.011 0.001 3.320 6.173 -0.001 -4.414 -4.346 3.280" Properties=species:S:1:pos:R:3 pbc="T T T"
La 4.870 2.915 0.000
Ca 0.298 0.178 0.000
Ca 3.922 -0.596 1.640
Li 1.990 2.432 1.640
```